## LaPm6Pr2Y (GGA-PBE)

Data for a geometry-optimized LaPm6Pr2Y structure.

Space group = C2/c, No. 15
DFT formation energy = 0.11 eV/atom

Cell lengths 9.035, 9.035, 9.961 Å; angles 94.52, 94.52, 118.68 degrees
Sites, in units of the cell vectors:
La 0.095 0.905 0.750
La 0.905 0.095 0.250
Pm 0.001 0.209 0.621
Pm 0.077 0.528 0.185
Pm 0.209 0.001 0.121
Pm 0.251 0.622 0.556
Pm 0.378 0.749 0.944
Pm 0.472 0.923 0.315
Pm 0.528 0.077 0.685
Pm 0.622 0.251 0.056
Pm 0.749 0.378 0.444
Pm 0.791 0.999 0.879
Pm 0.923 0.472 0.815
Pm 0.999 0.791 0.379
Pr 0.207 0.312 0.959
Pr 0.312 0.207 0.459
Pr 0.688 0.793 0.541
Pr 0.793 0.688 0.041
Y 0.479 0.521 0.250
Y 0.521 0.479 0.750



## La5Pm2PrY (GGA-PBE)

Data for a geometry-optimized La5Pm2PrY structure.

Space group = I4/mcm, No. 140
DFT formation energy = 0.26 eV/atom

Cell lengths 10.043, 10.043, 10.043 Å; angles 125.22, 125.22, 81.17 degrees
Sites, in units of the cell vectors:
La 0.000 0.000 0.000
La 0.071 0.571 0.916
La 0.155 0.071 0.500
La 0.345 0.845 0.916
La 0.429 0.345 0.500
La 0.500 0.500 0.000
La 0.571 0.655 0.500
La 0.655 0.155 0.084
La 0.845 0.929 0.500
La 0.929 0.429 0.084
Pm 0.113 0.387 0.500
Pm 0.387 0.887 0.274
Pm 0.613 0.113 0.726
Pm 0.887 0.613 0.500
Pr 0.250 0.250 0.000
Pr 0.750 0.750 0.000
Y 0.250 0.750 0.500
Y 0.750 0.250 0.500



## La6PmPr2Y (GGA-PBE)

Data for a geometry-optimized La6PmPr2Y structure.

Space group = C2/c, No. 15
DFT formation energy = 0.11 eV/atom

Cell lengths 9.199, 9.199, 9.351 Å; angles 90.20, 90.20, 114.69 degrees
Sites, in units of the cell vectors:
La 0.027 0.465 0.819
La 0.077 0.775 0.592
La 0.225 0.923 0.908
La 0.280 0.571 0.405
La 0.429 0.720 0.095
La 0.465 0.027 0.319
La 0.535 0.973 0.681
La 0.571 0.280 0.905
La 0.720 0.429 0.595
La 0.775 0.077 0.092
La 0.923 0.225 0.408
La 0.973 0.535 0.181
Pm 0.069 0.931 0.250
Pm 0.931 0.069 0.750
Pr 0.205 0.295 0.063
Pr 0.295 0.205 0.563
Pr 0.705 0.795 0.437
Pr 0.795 0.705 0.937
Y 0.429 0.571 0.750
Y 0.571 0.429 0.250



## La2Pm2PrY (GGA-PBE)

Data for a geometry-optimized La2Pm2PrY structure.

Space group = Pmma, No. 51
DFT formation energy = 0.05 eV/atom

Cell lengths 7.193, 5.819, 10.047 Å; angles 90.00, 90.00, 90.00 degrees
Sites, in units of the cell vectors:
La 0.000 0.000 0.000
La 0.250 0.500 0.173
La 0.500 0.000 0.000
La 0.750 0.500 0.827
Pm 0.250 0.000 0.333
Pm 0.250 0.500 0.835
Pm 0.750 0.000 0.667
Pm 0.750 0.500 0.165
Pr 0.250 0.000 0.661
Pr 0.750 0.000 0.339
Y 0.000 0.500 0.500
Y 0.500 0.500 0.500



## La2PmPr2Y6 (GGA-PBE)

Data for a geometry-optimized La2PmPr2Y6 structure.

Space group = Cmmm, No. 65
DFT formation energy = 0.13 eV/atom

Cell lengths 6.754, 6.754, 10.705 Å; angles 90.00, 90.00, 129.42 degrees
Sites, in units of the cell vectors:
La 0.212 0.788 0.000
La 0.788 0.212 0.000
Pm 0.500 0.500 0.000
Pr 0.130 0.870 0.500
Pr 0.870 0.130 0.500
Y 0.000 0.000 0.204
Y 0.000 0.000 0.796
Y 0.350 0.650 0.299
Y 0.350 0.650 0.701
Y 0.650 0.350 0.299
Y 0.650 0.350 0.701



## LaPm5Pr2Y (GGA-PBE)

Data for a geometry-optimized LaPm5Pr2Y structure.

Space group = I4/mcm, No. 140
DFT formation energy = 0.26 eV/atom

Cell lengths 10.180, 10.180, 10.180 Å; angles 127.97, 127.97, 76.68 degrees
Sites, in units of the cell vectors:
La 0.250 0.250 0.000
La 0.750 0.750 0.000
Pm 0.000 0.000 0.000
Pm 0.072 0.572 0.921
Pm 0.151 0.072 0.500
Pm 0.349 0.849 0.921
Pm 0.428 0.349 0.500
Pm 0.500 0.500 0.000
Pm 0.572 0.651 0.500
Pm 0.651 0.151 0.079
Pm 0.849 0.928 0.500
Pm 0.928 0.428 0.079
Pr 0.118 0.382 0.500
Pr 0.382 0.882 0.264
Pr 0.618 0.118 0.736
Pr 0.882 0.618 0.500
Y 0.250 0.750 0.500
Y 0.750 0.250 0.500